A plane-wave DFT calculation with PBE was carried out for a relaxed structure of PmCdTe.

Properties
- Offset from the most stable computed form: 0 meV/atom
- Space-group type: F-43m

Lattice parameters (Å, degrees): 5.210 5.210 5.210 60.00 60.00 60.00
Sites, in units of the cell vectors:
Pm1 0.000 0.000 0.000
Te1 0.750 0.750 0.750
Cd1 0.250 0.250 0.250


A plane-wave DFT calculation with PBE was carried out for a relaxed structure of KNpFe.

Properties
- Space-group type: F-43m
- Raw total energy: -4.5727 eV per atom

Lattice parameters (Å, degrees): 4.812 4.812 4.812 60.00 60.00 60.00
Sites, in units of the cell vectors:
K1 0.000 0.000 0.000
Fe1 0.250 0.250 0.250
Np1 0.750 0.750 0.750


A plane-wave DFT calculation with PBE was carried out for a relaxed structure of LaIr.

Properties
- E_form: -0.8 eV per formula unit
- Space-group type: P-6m2

Lattice parameters (Å, degrees): 4.057 4.057 3.641 90.00 90.00 120.00
Sites, in units of the cell vectors:
Ir1 0.667 0.333 0.750
La1 0.333 0.667 0.250


A plane-wave DFT calculation with PBE was carried out for a relaxed structure of ErS2F2.

Properties
- Space-group type: C2/m
- Raw total energy: -5.7001 eV per atom

Lattice parameters (Å, degrees): 6.881 6.881 5.516 100.49 100.49 127.09
Sites, in units of the cell vectors:
Er1 0.182 0.818 0.000
F1 0.582 0.048 0.249
S1 0.145 0.145 0.342
F2 0.418 0.952 0.751
S2 0.304 0.304 0.092
F3 0.048 0.582 0.249
S3 0.696 0.696 0.908
Er2 0.818 0.182 0.000
F4 0.952 0.418 0.751
S4 0.855 0.855 0.658